(1)
SiTcW: single point on PBEsol structure, SCAN.

ΔE to the lowest computed polymorph = 0.00 kcal/mol of atoms
Formation energy (no corrections) = 0.094 eV/atom
Volume = 16.4 Å³/atom

a = 5.8223 Å, b = 5.8223 Å, c = 5.8223 Å
α = 90.00°, β = 90.00°, γ = 90.00°
Space group F-43m (No. 216)
Symmetry-distinct sites (fractional):
Si1 0.0000 0.0000 0.0000
Tc1 0.2500 0.2500 0.7500
W1 0.0000 0.0000 0.5000

=====

(2)
CrRu2: single point on PBEsol structure, SCAN.

Energy of formation from the pure elements = 93 meV/atom
Volume = 12.7 Å³/atom

a = 2.6624 Å, b = 13.5851 Å, c = 4.2107 Å
α = 90.00°, β = 90.00°, γ = 90.00°
Space group Cmcm (No. 63)
Symmetry-distinct sites (fractional):
Cr1 0.0000 0.2232 0.2500
Ru1 0.0000 0.1172 0.7500
Ru2 0.0000 0.4408 0.7500

=====

(3)
Mg2CoRe: single point on PBEsol structure, SCAN.

ΔE to the lowest computed polymorph = 0.00 kcal/mol of atoms
Energy of formation from the pure elements = 155 meV/atom
Volume = 15.6 Å³/atom

a = 2.7985 Å, b = 2.7985 Å, c = 7.9682 Å
α = 90.00°, β = 90.00°, γ = 90.00°
Space group P4mm (No. 99)
Symmetry-distinct sites (fractional):
Mg1 0.0000 0.0000 0.0000
Mg2 0.5000 0.5000 0.3311
Co1 0.5000 0.5000 0.7746
Re1 0.0000 0.0000 0.5918

=====

(4)
LaTa2Ag: single point on PBEsol structure, SCAN.

ΔE to the lowest computed polymorph = 4.19 kcal/mol of atoms
Energy of formation from the pure elements = 823 meV/atom
Volume = 19.1 Å³/atom

a = 6.7301 Å, b = 6.7301 Å, c = 6.7301 Å
α = 90.00°, β = 90.00°, γ = 90.00°
Space group Fm-3m (No. 225)
Symmetry-distinct sites (fractional):
La1 0.0000 0.0000 0.0000
Ta1 0.2500 0.2500 0.2500
Ag1 0.0000 0.0000 0.5000

=====

(5)
Ta2AlW: single point on PBEsol structure, SCAN.

Energy of formation from the pure elements = -132 meV/atom
Volume = 16.5 Å³/atom

a = 3.2547 Å, b = 4.4895 Å, c = 9.0310 Å
α = 90.00°, β = 90.00°, γ = 90.00°
Space group Cmmm (No. 65)
Symmetry-distinct sites (fractional):
Ta1 0.0000 0.0000 0.2488
Al1 0.0000 0.5000 0.0000
W1 0.0000 0.5000 0.5000

=====

(6)
TaMnSnCl2: single point on PBEsol structure, SCAN.

Formation energy (no corrections) = -0.036 eV/atom
Volume = 24.5 Å³/atom

a = 4.6160 Å, b = 4.6160 Å, c = 5.7421 Å
α = 90.00°, β = 90.00°, γ = 90.00°
Space group P4/mmm (No. 123)
Symmetry-distinct sites (fractional):
Ta1 0.0000 0.0000 0.0000
Mn1 0.5000 0.5000 0.5000
Sn1 0.0000 0.0000 0.5000
Cl1 0.0000 0.5000 0.0000

=====

(7)
BeZn2Re: single point on PBEsol structure, SCAN.

Energy of formation from the pure elements = 359 meV/atom
Volume = 12.4 Å³/atom

a = 5.8368 Å, b = 5.8368 Å, c = 5.8368 Å
α = 90.00°, β = 90.00°, γ = 90.00°
Space group F-43m (No. 216)
Symmetry-distinct sites (fractional):
Be1 0.0000 0.0000 0.0000
Zn1 0.0000 0.0000 0.5000
Zn2 0.2500 0.2500 0.2500
Re1 0.2500 0.2500 0.7500

=====

(8)
K2Zn3GeAs4: single point on PBEsol structure, SCAN.

Energy of formation from the pure elements = -370 meV/atom
Volume = 23.1 Å³/atom

a = 5.7185 Å, b = 14.1482 Å, c = 5.7064 Å
α = 90.00°, β = 90.00°, γ = 90.00°
Space group C222 (No. 21)
Symmetry-distinct sites (fractional):
K1 0.2500 0.2500 0.2475
Zn1 0.0000 0.0000 0.0000
Zn2 0.0000 0.0000 0.5000
Zn3 0.0000 0.5000 0.5000
Ge1 0.0000 0.5000 0.0000
As1 0.2432 0.3906 0.7564

=====

We obtain final energy values of -38.16; -29.25; -24.43; -51.09; -52.78; -27.38; -25.26; -16.08 eV/atom for the records listed above, in that order.